Record 1
A relaxed LiTe2IN crystal, computed with PBE.

abc: 5.1317 5.1317 5.5292
angles: 90.00 90.00 90.00
With the nearest neighbours (Å) after each atom.
Positions (direct):
I: 0.0000 0.0000 0.5000  2 Li 2.76
Te: 0.0000 0.5000 0.0000  2 Li 2.57
Te: 0.5000 0.0000 0.0000  2 Li 2.57
Li: 0.0000 0.0000 0.0000  4 Te 2.57, 2 I 2.76
N: 0.5000 0.5000 0.5000  4 I 3.63, 8 Te 3.77

Properties
E above lowest polymorph: 621.4 meV per atom
theoretical density: 4.6 g/cm3
V: 146 Å³ per cell

---

Record 2
A relaxed MgCrCu2Hg crystal, computed with PBE.

abc: 4.6714 5.1090 4.6714
angles: 90.00 90.00 90.00
With the nearest neighbours (Å) after each atom.
Positions (direct):
Cr: 0.0000 0.0000 0.0000  4 Cu 2.34, 2 Hg 2.55
Mg: 0.5000 0.5000 0.5000  4 Hg 3.30, 8 Cu 3.46
Hg: 0.0000 0.5000 0.0000  2 Cr 2.55
Cu: 0.0000 0.0000 0.5000  2 Cr 2.34
Cu: 0.5000 0.0000 0.0000  2 Cr 2.34

Properties
theoretical density: 6.0 g/cm3
V: 111 Å³ per cell
formation enthalpy at 0 K: 4.162 eV per formula unit

---

Record 3
A relaxed Pr12SmTl6 crystal, computed with PBE.

abc: 8.5011 8.5011 8.5011
angles: 88.99 88.99 88.99
With the nearest neighbours (Å) after each atom.
Positions (direct):
Pr: 0.8082 0.5304 0.4342  4 Tl 3.35-3.51, 4 Pr 3.49-3.57
Pr: 0.4342 0.8082 0.5304  4 Tl 3.35-3.51, 4 Pr 3.49-3.57
Pr: 0.5304 0.4342 0.8082  4 Tl 3.35-3.51, 4 Pr 3.49-3.57
Pr: 0.1918 0.4696 0.5658  4 Tl 3.35-3.51, 4 Pr 3.49-3.57
Pr: 0.5658 0.1918 0.4696  4 Tl 3.35-3.51, 4 Pr 3.49-3.57
Pr: 0.4696 0.5658 0.1918  4 Tl 3.35-3.51, 4 Pr 3.49-3.57
Pr: 0.0793 0.1209 0.3851  3 Pr 3.12-3.42, 1 Tl 3.36
Pr: 0.8791 0.6149 0.9207  3 Pr 3.12-3.42, 1 Tl 3.36
Pr: 0.6149 0.9207 0.8791  3 Pr 3.12-3.42, 1 Tl 3.36
Pr: 0.9207 0.8791 0.6149  3 Pr 3.12-3.42, 1 Tl 3.36
Pr: 0.1209 0.3851 0.0793  3 Pr 3.12-3.42, 1 Tl 3.36
Pr: 0.3851 0.0793 0.1209  3 Pr 3.12-3.42, 1 Tl 3.36
Sm: 0.0000 0.0000 0.0000  6 Tl 3.35, 6 Pr 3.53
Tl: 0.7228 0.8748 0.2559  7 Pr 3.35-3.53, 1 Sm 3.35, 2 Tl 3.58
Tl: 0.7441 0.2772 0.1252  7 Pr 3.35-3.53, 1 Sm 3.35, 2 Tl 3.58
Tl: 0.1252 0.7441 0.2772  7 Pr 3.35-3.53, 1 Sm 3.35, 2 Tl 3.58
Tl: 0.2772 0.1252 0.7441  7 Pr 3.35-3.53, 1 Sm 3.35, 2 Tl 3.58
Tl: 0.2559 0.7228 0.8748  7 Pr 3.35-3.53, 1 Sm 3.35, 2 Tl 3.58
Tl: 0.8748 0.2559 0.7228  7 Pr 3.35-3.53, 1 Sm 3.35, 2 Tl 3.58

Properties
theoretical density: 8.3 g/cm3
V: 614 Å³ per cell
formation enthalpy at 0 K: -3.197 eV per formula unit

---

Record 4
A relaxed Zr3P crystal, computed with PBE.

abc: 5.5477 6.8813 8.3800
angles: 90.00 90.00 90.00
With the nearest neighbours (Å) after each atom.
Positions (direct):
P: 0.5869 0.8895 0.7500  8 Zr 2.69-2.81
P: 0.0869 0.6105 0.2500  8 Zr 2.69-2.81
P: 0.9131 0.3895 0.7500  8 Zr 2.69-2.81
P: 0.4131 0.1105 0.2500  8 Zr 2.69-2.81
Zr: 0.1178 0.0236 0.7500  3 P 2.76-3.09
Zr: 0.6178 0.4764 0.2500  3 P 2.76-3.09
Zr: 0.3822 0.5236 0.7500  3 P 2.76-3.09
Zr: 0.8822 0.9764 0.2500  3 P 2.76-3.09
Zr: 0.6355 0.1879 0.9554  3 P 2.69-2.81, 2 Zr 3.00
Zr: 0.1355 0.3121 0.0446  3 P 2.69-2.81, 2 Zr 3.00
Zr: 0.8645 0.6879 0.5446  3 P 2.69-2.81, 2 Zr 3.00
Zr: 0.3645 0.8121 0.4554  3 P 2.69-2.81, 2 Zr 3.00
Zr: 0.3645 0.8121 0.0446  3 P 2.69-2.81, 2 Zr 3.00
Zr: 0.8645 0.6879 0.9554  3 P 2.69-2.81, 2 Zr 3.00
Zr: 0.1355 0.3121 0.4554  3 P 2.69-2.81, 2 Zr 3.00
Zr: 0.6355 0.1879 0.5446  3 P 2.69-2.81, 2 Zr 3.00

Properties
E above lowest polymorph: 23.1 meV per atom
theoretical density: 6.3 g/cm3
V: 320 Å³ per cell
formation enthalpy at 0 K: -3.358 eV per formula unit

---

Record 5
A relaxed RbLaRe2P crystal, computed with PBE.

abc: 4.9051 5.8998 4.9051
angles: 90.00 90.00 90.00
With the nearest neighbours (Å) after each atom.
Positions (direct):
Re: 0.0000 0.0000 0.5000  2 La 2.45
Re: 0.5000 0.0000 0.0000  2 La 2.45
P: 0.5000 0.5000 0.5000  4 Rb 3.47, 8 Re 3.84
Rb: 0.0000 0.5000 0.0000  2 La 2.95
La: 0.0000 0.0000 0.0000  4 Re 2.45

Properties
theoretical density: 7.3 g/cm3
V: 142 Å³ per cell
formation enthalpy at 0 K: 12.361 eV per formula unit

---

Record 6
A relaxed Pm2Cu3Hg2 crystal, computed with PBE.

abc: 4.4426 5.8172 6.6970
angles: 110.58 90.00 112.45
With the nearest neighbours (Å) after each atom.
Positions (direct):
Pm: 0.8626 0.7252 0.2391  6 Cu 3.12-3.39, 4 Hg 3.13-3.20
Pm: 0.1374 0.2748 0.7609  6 Cu 3.12-3.39, 4 Hg 3.13-3.20
Cu: 0.5000 0.0000 0.0000  2 Cu 2.54
Cu: 0.5814 0.1628 0.4094  2 Cu 2.48-2.54, 2 Hg 2.73
Cu: 0.4186 0.8372 0.5906  2 Cu 2.48-2.54, 2 Hg 2.73
Hg: 0.8394 0.6789 0.7483  5 Cu 2.73-2.92
Hg: 0.1606 0.3211 0.2517  5 Cu 2.73-2.92

Properties
theoretical density: 9.9 g/cm3
V: 148 Å³ per cell
formation enthalpy at 0 K: -1.615 eV per formula unit

---

Record 7
A relaxed Ni8PdPt6 crystal, computed with PBE.

abc: 8.3673 7.0347 5.9466
angles: 65.23 45.22 53.51
With the nearest neighbours (Å) after each atom.
Positions (direct):
Ni: 0.5309 0.3353 0.4057  6 Pt 2.61-2.74, 5 Ni 2.61-2.67, 1 Pd 2.68
Ni: 0.8020 0.0000 0.6015  6 Pt 2.56-2.67, 5 Ni 2.61-2.68, 1 Pd 2.68
Ni: 0.1338 0.3353 0.5944  6 Pt 2.61-2.74, 5 Ni 2.61-2.67, 1 Pd 2.68
Ni: 0.6680 0.6641 0.0000  6 Pt 2.61-2.67, 6 Ni 2.64-2.68
Ni: 0.3320 0.3359 0.0000  6 Pt 2.61-2.67, 6 Ni 2.64-2.68
Ni: 0.8662 0.6647 0.4056  6 Pt 2.61-2.74, 5 Ni 2.61-2.67, 1 Pd 2.68
Ni: 0.1980 0.0000 0.3985  6 Pt 2.56-2.67, 5 Ni 2.61-2.68, 1 Pd 2.68
Ni: 0.4691 0.6647 0.5943  6 Pt 2.61-2.74, 5 Ni 2.61-2.67, 1 Pd 2.68
Pd: 0.0000 0.0000 0.0000  6 Pt 2.67-2.76, 6 Ni 2.68
Pt: 0.4160 0.0000 0.7943  8 Ni 2.56-2.74, 3 Pt 2.70-2.76, 1 Pd 2.76
Pt: 0.9261 0.3384 0.2044  8 Ni 2.61-2.71, 3 Pt 2.65-2.76, 1 Pd 2.67
Pt: 0.2645 0.6616 0.2044  8 Ni 2.61-2.71, 3 Pt 2.65-2.76, 1 Pd 2.67
Pt: 0.7355 0.3384 0.7956  8 Ni 2.61-2.71, 3 Pt 2.65-2.76, 1 Pd 2.67
Pt: 0.0739 0.6616 0.7956  8 Ni 2.61-2.71, 3 Pt 2.65-2.76, 1 Pd 2.67
Pt: 0.5840 0.0000 0.2057  8 Ni 2.56-2.74, 3 Pt 2.70-2.76, 1 Pd 2.76

Properties
E above lowest polymorph: 0.0 meV per atom
theoretical density: 14.5 g/cm3
V: 200 Å³ per cell
formation enthalpy at 0 K: -0.922 eV per formula unit

---

Record 8
A relaxed Mn3AlH crystal, computed with PBE.

abc: 4.1553 4.1553 7.3544
angles: 90.00 90.00 120.00
With the nearest neighbours (Å) after each atom.
Positions (direct):
H: 0.0000 0.0000 0.0000  2 Mn 1.84
H: 0.0000 0.0000 0.5000  2 Mn 1.84
Mn: 0.0000 0.0000 0.2500  2 H 1.84
Mn: 0.0000 0.0000 0.7500  2 H 1.84
Mn: 0.3333 0.6667 0.0854  7 Mn 2.42-2.71, 4 Al 2.47-2.69, 3 H 2.48
Mn: 0.3333 0.6667 0.4146  7 Mn 2.42-2.71, 4 Al 2.47-2.69, 3 H 2.48
Mn: 0.6667 0.3333 0.5854  7 Mn 2.42-2.71, 4 Al 2.47-2.69, 3 H 2.48
Mn: 0.6667 0.3333 0.9146  7 Mn 2.42-2.71, 4 Al 2.47-2.69, 3 H 2.48
Al: 0.3333 0.6667 0.7500  5 Mn 2.40-2.47
Al: 0.6667 0.3333 0.2500  5 Mn 2.40-2.47

Properties
theoretical density: 5.8 g/cm3
V: 110 Å³ per cell
total energy: -67.00 eV for the cell shown

---

Record 9
A relaxed AcSm6Se8 crystal, computed with PBE.

abc: 8.3696 8.3696 8.3696
angles: 60.00 60.00 60.00
With the nearest neighbours (Å) after each atom.
Positions (direct):
Ac: 0.0000 0.0000 0.0000  6 Se 3.11
Sm: 0.0000 0.5000 0.5000  6 Se 2.96
Sm: 0.5000 0.0000 0.0000  6 Se 2.96
Sm: 0.5000 0.5000 0.0000  6 Se 2.96
Sm: 0.0000 0.0000 0.5000  6 Se 2.96
Sm: 0.0000 0.5000 0.0000  6 Se 2.96
Sm: 0.5000 0.0000 0.5000  6 Se 2.96
Se: 0.7500 0.7500 0.7500  6 Sm 2.96
Se: 0.2500 0.2500 0.2500  6 Sm 2.96
Se: 0.7373 0.2627 0.2627  4 Sm 2.96, 1 Ac 3.11
Se: 0.2627 0.7373 0.7373  4 Sm 2.96, 1 Ac 3.11
Se: 0.2627 0.2627 0.7373  4 Sm 2.96, 1 Ac 3.11
Se: 0.7373 0.7373 0.2627  4 Sm 2.96, 1 Ac 3.11
Se: 0.7373 0.2627 0.7373  4 Sm 2.96, 1 Ac 3.11
Se: 0.2627 0.7373 0.2627  4 Sm 2.96, 1 Ac 3.11

Properties
theoretical density: 7.1 g/cm3
V: 415 Å³ per cell
total energy: -87.99 eV for the cell shown

---

Record 10
A relaxed La5Zn2Sn crystal, computed with PBE.

abc: 8.6038 8.6038 8.9998
angles: 118.56 118.56 90.00
With the nearest neighbours (Å) after each atom.
Positions (direct):
La: 0.5109 0.6957 0.7066  3 Zn 3.17-3.20, 2 Sn 3.52, 1 La 3.54
La: 0.8043 0.9891 0.2934  3 Zn 3.17-3.20, 2 Sn 3.52, 1 La 3.54
La: 0.0000 0.0000 0.0000  2 Sn 3.32, 4 Zn 3.34
La: 0.5000 0.5000 0.0000  2 Sn 3.32, 4 Zn 3.34
La: 0.1957 0.0109 0.7066  3 Zn 3.17-3.20, 2 Sn 3.52, 1 La 3.54
La: 0.6957 0.1957 0.7066  3 Zn 3.17-3.20, 2 Sn 3.52, 1 La 3.54
La: 0.0109 0.5109 0.7066  3 Zn 3.17-3.20, 2 Sn 3.52, 1 La 3.54
La: 0.3043 0.8043 0.2934  3 Zn 3.17-3.20, 2 Sn 3.52, 1 La 3.54
La: 0.9891 0.4891 0.2934  3 Zn 3.17-3.20, 2 Sn 3.52, 1 La 3.54
La: 0.4891 0.3043 0.2934  3 Zn 3.17-3.20, 2 Sn 3.52, 1 La 3.54
Zn: 0.1369 0.3631 0.0000  8 La 3.17-3.34, 1 Zn 3.33
Zn: 0.6369 0.1369 0.0000  8 La 3.17-3.34, 1 Zn 3.33
Zn: 0.3631 0.8631 0.0000  8 La 3.17-3.34, 1 Zn 3.33
Zn: 0.8631 0.6369 0.0000  8 La 3.17-3.34, 1 Zn 3.33
Sn: 0.7500 0.7500 0.5000  10 La 3.32-3.52
Sn: 0.2500 0.2500 0.5000  10 La 3.32-3.52

Properties
theoretical density: 6.4 g/cm3
V: 491 Å³ per cell
formation enthalpy at 0 K: -3.026 eV per formula unit